No. 1
DFT (PBE) results for a geometry-optimized NaLaSm structure.

Summary:
Its energy of formation is 88 meV/atom. The value obtained for the total energy is -3.5673 eV per atom. For the volume, the calculation gives 218 Å³ per cell. The offset from the most stable computed form is 0.000 eV/atom.

Lattice parameters (Å, degrees): 3.617 3.617 16.657 90.00 90.00 90.00
Positions (direct):
Sm  0.500  0.000  0.741
Na  0.000  0.500  0.912
La  0.000  0.500  0.585
La  0.500  0.000  0.415
Na  0.500  0.000  0.088
Sm  0.000  0.500  0.259

No. 2
DFT (PBE) results for a geometry-optimized NaSm2AuO5 structure.

Summary:
As for the formation energy (no corrections): -2.168 eV/atom. The value obtained for the total energy is -6.4823 eV per atom. For the volume, the calculation gives 267 Å³ per cell.

Lattice parameters (Å, degrees): 5.935 6.713 6.713 90.00 90.00 90.00
Positions (direct):
O  0.257  0.137  0.637
O  0.500  0.000  0.000
Sm  0.500  0.177  0.323
Na  0.000  0.500  0.500
Au  0.000  0.500  0.000
O  0.743  0.137  0.637
Na  0.000  0.000  0.000
Sm  0.500  0.677  0.177
Sm  0.500  0.323  0.823
Sm  0.500  0.823  0.677
O  0.743  0.863  0.363
O  0.743  0.637  0.863
O  0.743  0.363  0.137
Au  0.000  0.000  0.500
O  0.257  0.863  0.363
O  0.257  0.637  0.863
O  0.500  0.500  0.500
O  0.257  0.363  0.137

No. 3
DFT (PBE) results for a geometry-optimized Ba2ZrBr structure.

Summary:
As for the formation energy (no corrections): 0.123 eV/atom. The value obtained for the total energy is -3.3939 eV per atom. For the volume, the calculation gives 163 Å³ per cell. The offset from the most stable computed form is 0.421 eV/atom.

Lattice parameters (Å, degrees): 6.125 6.125 6.125 60.00 60.00 60.00
Positions (direct):
Ba  0.750  0.750  0.750
Ba  0.250  0.250  0.250
Zr  0.500  0.500  0.500
Br  0.000  0.000  0.000